Record 1
# SbAuI2F

SbAuI2F at its PBEsol-relaxed geometry (SCAN, the Alexandria database).

Lattice parameters (Å, degrees): 4.140 5.672 5.672 90.00 90.00 90.00
Fractional positions:
1 I 0.000 0.000 0.500
2 I 0.000 0.500 0.000
3 Au 0.500 0.500 0.500
4 Sb 0.500 0.000 0.000
5 F 0.000 0.000 0.000

## Properties
Size of the total moment: 0.0 Bohr magnetons per cell
Formation energy without anion corrections: 119 meV per atom
Density of states at the Fermi level: 1.3 states/eV/f.u.
V: 26.6 Å³/atom
Space-group type: P4/mmm, No. 123

Record 2
# MgTeOsN2

MgTeOsN2 at its PBEsol-relaxed geometry (SCAN, the Alexandria database).

Lattice parameters (Å, degrees): 3.870 3.870 5.542 90.00 90.00 90.00
Site moments in Bohr magnetons follow the coordinates.
Fractional positions:
1 N 0.500 0.000 0.000  1.28
2 N 0.000 0.500 0.000  1.28
3 Te 0.000 0.000 0.500  0.07
4 Os 0.500 0.500 0.500  -0.93
5 Mg 0.000 0.000 0.000  0.00

## Properties
Size of the total moment: 2.5 Bohr magnetons per cell
Formation energy without anion corrections: 1865 meV per atom
Density of states at the Fermi level: 2.8 states/eV/f.u.
V: 16.6 Å³/atom
Space-group type: P4/mmm, No. 123

Record 3
# RbAlSb2Te

RbAlSb2Te at its PBEsol-relaxed geometry (SCAN, the Alexandria database).

Lattice parameters (Å, degrees): 5.323 5.323 5.634 90.00 90.00 90.00
Fractional positions:
1 Al 0.000 0.000 0.000
2 Rb 0.500 0.500 0.500
3 Te 0.000 0.000 0.500
4 Sb 0.500 0.000 0.000
5 Sb 0.000 0.500 0.000

## Properties
Size of the total moment: 0.0 Bohr magnetons per cell
Formation energy without anion corrections: 4 meV per atom
Density of states at the Fermi level: 3.9 states/eV/f.u.
V: 31.9 Å³/atom
Space-group type: P4/mmm, No. 123

Record 4
# Li2Ca

Li2Ca at its PBEsol-relaxed geometry (SCAN, the Alexandria database).

Lattice parameters (Å, degrees): 3.918 5.378 8.058 90.00 104.07 90.00
Fractional positions:
1 Ca 0.085 0.250 0.170
2 Ca 0.915 0.750 0.830
3 Li 0.763 0.250 0.526
4 Li 0.237 0.750 0.474
5 Li 0.404 0.250 0.808
6 Li 0.596 0.750 0.192

## Properties
Size of the total moment: 0.5 Bohr magnetons per cell
Density of states at the Fermi level: 1.8 states/eV/f.u.
V: 27.4 Å³/atom
Energy relative to the elements: 0.07 eV/f.u.
Space-group type: Cmcm, No. 63

Record 5
# ReHgRu

ReHgRu at its PBEsol-relaxed geometry (SCAN, the Alexandria database).

Lattice parameters (Å, degrees): 2.832 2.832 6.266 103.06 103.06 90.00
Fractional positions:
1 Ru 0.317 0.317 0.634
2 Hg 0.999 0.999 0.998
3 Re 0.684 0.684 0.369

## Properties
Size of the total moment: 0.0 Bohr magnetons per cell
Density of states at the Fermi level: 2.0 states/eV/f.u.
V: 15.9 Å³/atom
Energy relative to the elements: 1.00 eV/f.u.
Space-group type: I4mm, No. 107

Record 6
# SiTeBr2

SiTeBr2 at its PBEsol-relaxed geometry (SCAN, the Alexandria database).

Lattice parameters (Å, degrees): 4.053 4.053 7.506 90.00 90.00 90.00
Fractional positions:
1 Br 0.500 0.500 0.297
2 Br 0.000 0.000 0.939
3 Te 0.500 0.500 0.632
4 Si 0.000 0.000 0.632

## Properties
Size of the total moment: 0.0 Bohr magnetons per cell
Formation energy without anion corrections: -117 meV per atom
Density of states at the Fermi level: 0.0 states/eV/f.u.
V: 30.8 Å³/atom
Space-group type: P4mm, No. 99

Record 7
# Zr2SbSeF

Zr2SbSeF at its PBEsol-relaxed geometry (SCAN, the Alexandria database).

Lattice parameters (Å, degrees): 4.955 4.955 5.307 90.00 90.00 90.00
Fractional positions:
1 Sb 0.000 0.000 0.500
2 Zr 0.500 0.000 0.000
3 Zr 0.000 0.500 0.000
4 F 0.500 0.500 0.500
5 Se 0.000 0.000 0.000

## Properties
Size of the total moment: 0.0 Bohr magnetons per cell
Formation energy without anion corrections: 70 meV per atom
Density of states at the Fermi level: 3.3 states/eV/f.u.
V: 26.1 Å³/atom
Space-group type: P4/mmm, No. 123

Record 8
# RhC3

RhC3 at its PBEsol-relaxed geometry (SCAN, the Alexandria database).

Lattice parameters (Å, degrees): 2.577 2.577 5.508 90.00 90.00 120.00
Fractional positions:
1 Rh 0.333 0.667 0.500
2 C 0.000 0.000 0.175
3 C 0.000 0.000 0.825
4 C 0.333 0.667 0.000

## Properties
Size of the total moment: 0.0 Bohr magnetons per cell
Density of states at the Fermi level: 1.9 states/eV/f.u.
V: 7.9 Å³/atom
Energy relative to the elements: 9.33 eV/f.u.
Space-group type: P-6m2, No. 187

Record 9
# BaTc2Pb

BaTc2Pb at its PBEsol-relaxed geometry (SCAN, the Alexandria database).

Lattice parameters (Å, degrees): 3.183 3.183 8.757 90.00 90.00 90.00
Fractional positions:
1 Ba 0.000 0.000 0.467
2 Tc 0.000 0.000 0.042
3 Tc 0.500 0.500 0.181
4 Pb 0.500 0.500 0.809

## Properties
Size of the total moment: 0.0 Bohr magnetons per cell
Density of states at the Fermi level: 2.8 states/eV/f.u.
V: 22.2 Å³/atom
Energy relative to the elements: 1.17 eV/f.u.
Space-group type: P4mm, No. 99

Record 10
# Na5LaO4

Na5LaO4 at its PBEsol-relaxed geometry (SCAN, the Alexandria database).

Lattice parameters (Å, degrees): 5.526 15.131 15.131 90.00 90.00 90.00
Fractional positions:
1 O 0.127 0.626 0.000
2 O 0.873 0.000 0.626
3 O 0.737 0.743 0.873
4 O 0.763 0.243 0.627
5 O 0.249 0.874 0.000
6 O 0.749 0.500 0.626
7 O 0.251 0.626 0.500
8 O 0.127 0.374 0.000
9 O 0.737 0.743 0.127
10 O 0.763 0.757 0.373
11 O 0.373 0.126 0.500
12 O 0.263 0.873 0.743
13 O 0.873 0.000 0.374
14 O 0.737 0.257 0.127
15 O 0.263 0.127 0.257
16 O 0.763 0.757 0.627
17 O 0.751 0.000 0.126
18 O 0.737 0.257 0.873
19 O 0.751 0.000 0.874
20 O 0.373 0.874 0.500
21 O 0.237 0.373 0.757
22 O 0.237 0.627 0.243
23 O 0.627 0.500 0.126
24 O 0.237 0.373 0.243
25 O 0.249 0.126 0.000
26 O 0.627 0.500 0.874
27 O 0.763 0.243 0.373
28 O 0.263 0.127 0.743
29 O 0.749 0.500 0.374
30 O 0.263 0.873 0.257
31 O 0.237 0.627 0.757
32 O 0.251 0.374 0.500
33 Na 0.071 0.147 0.605
34 Na 0.000 0.500 0.500
35 Na 0.929 0.395 0.853
36 Na 0.071 0.853 0.395
37 Na 0.429 0.353 0.105
38 Na 0.000 0.237 0.763
39 Na 0.000 0.237 0.237
40 Na 0.000 0.000 0.000
41 Na 0.429 0.647 0.895
42 Na 0.000 0.763 0.763
43 Na 0.571 0.895 0.353
44 Na 0.500 0.872 0.128
45 Na 0.500 0.500 0.500
46 Na 0.500 0.737 0.737
47 Na 0.929 0.605 0.147
48 Na 0.000 0.372 0.372
49 Na 0.137 0.000 0.500
50 Na 0.500 0.263 0.737
51 Na 0.571 0.105 0.353
52 Na 0.500 0.000 0.000
53 Na 0.000 0.628 0.628
54 Na 0.500 0.872 0.872
55 Na 0.000 0.763 0.237
56 Na 0.571 0.105 0.647
57 Na 0.363 0.500 0.000
58 Na 0.071 0.853 0.605
59 Na 0.500 0.128 0.128
60 Na 0.071 0.147 0.395
61 Na 0.500 0.737 0.263
62 Na 0.637 0.000 0.500
63 Na 0.429 0.647 0.105
64 Na 0.500 0.263 0.263
65 Na 0.000 0.628 0.372
66 Na 0.571 0.895 0.647
67 Na 0.500 0.128 0.872
68 Na 0.929 0.605 0.853
69 Na 0.000 0.372 0.628
70 Na 0.929 0.395 0.147
71 Na 0.429 0.353 0.895
72 Na 0.863 0.500 0.000
73 La 0.044 0.000 0.769
74 La 0.044 0.000 0.231
75 La 0.956 0.231 0.000
76 La 0.456 0.500 0.731
77 La 0.456 0.500 0.269
78 La 0.956 0.769 0.000
79 La 0.544 0.269 0.500
80 La 0.544 0.731 0.500

## Properties
Size of the total moment: 0.0 Bohr magnetons per cell
Formation energy without anion corrections: -1948 meV per atom
Density of states at the Fermi level: 0.0 states/eV/f.u.
V: 15.8 Å³/atom
Space-group type: P4_2/nmc, No. 137

Record 11
# TcAgHg2

TcAgHg2 at its PBEsol-relaxed geometry (SCAN, the Alexandria database).

Lattice parameters (Å, degrees): 4.145 4.145 5.077 114.09 114.09 90.00
Site moments in Bohr magnetons follow the coordinates.
Fractional positions:
1 Hg 0.000 0.000 0.000  -0.05
2 Hg 0.750 0.250 0.500  0.00
3 Ag 0.250 0.750 0.500  0.04
4 Tc 0.500 0.500 0.000  2.49

## Properties
Size of the total moment: 2.5 Bohr magnetons per cell
Density of states at the Fermi level: 2.2 states/eV/f.u.
V: 17.8 Å³/atom
Energy relative to the elements: 2.36 eV/f.u.
Space-group type: I-4m2, No. 119

Record 12
# HfNiP

HfNiP at its PBEsol-relaxed geometry (SCAN, the Alexandria database).

Lattice parameters (Å, degrees): 3.668 6.232 7.055 90.00 90.00 90.00
Fractional positions:
1 Ni 0.750 0.345 0.933
2 Ni 0.750 0.845 0.567
3 Ni 0.250 0.655 0.067
4 Ni 0.250 0.155 0.433
5 Hf 0.250 0.519 0.683
6 Hf 0.750 0.481 0.317
7 Hf 0.250 0.019 0.817
8 Hf 0.750 0.981 0.183
9 P 0.250 0.778 0.388
10 P 0.750 0.722 0.888
11 P 0.750 0.222 0.612
12 P 0.250 0.278 0.112

## Properties
Size of the total moment: 0.0 Bohr magnetons per cell
Density of states at the Fermi level: 1.4 states/eV/f.u.
V: 13.4 Å³/atom
Energy relative to the elements: -3.34 eV/f.u.
Space-group type: Pnma, No. 62

Record 13
# La2Al2I

La2Al2I at its PBEsol-relaxed geometry (SCAN, the Alexandria database).

Lattice parameters (Å, degrees): 4.359 4.359 17.235 90.00 90.00 120.00
Fractional positions:
1 La 0.000 0.000 0.121
2 La 0.000 0.000 0.379
3 La 0.000 0.000 0.621
4 La 0.000 0.000 0.879
5 Al 0.667 0.333 0.494
6 Al 0.333 0.667 0.994
7 Al 0.333 0.667 0.506
8 Al 0.667 0.333 0.006
9 I 0.667 0.333 0.750
10 I 0.333 0.667 0.250

## Properties
Size of the total moment: 0.0 Bohr magnetons per cell
Formation energy without anion corrections: -910 meV per atom
Density of states at the Fermi level: 1.7 states/eV/f.u.
V: 28.4 Å³/atom
Space-group type: P6_3/mmc, No. 194

Record 14
# NaAgB2Pd

NaAgB2Pd at its PBEsol-relaxed geometry (SCAN, the Alexandria database).

Lattice parameters (Å, degrees): 4.066 4.066 5.159 90.00 90.00 90.00
Fractional positions:
1 Ag 0.000 0.000 0.000
2 Pd 0.000 0.000 0.500
3 Na 0.500 0.500 0.500
4 B 0.500 0.000 0.000
5 B 0.000 0.500 0.000

## Properties
Size of the total moment: 0.0 Bohr magnetons per cell
Density of states at the Fermi level: 1.2 states/eV/f.u.
V: 17.1 Å³/atom
Energy relative to the elements: 6.03 eV/f.u.
Space-group type: P4/mmm, No. 123

Record 15
# Rb3CoS

Rb3CoS at its PBEsol-relaxed geometry (SCAN, the Alexandria database).

Lattice parameters (Å, degrees): 6.270 6.270 6.270 90.00 90.00 90.00
Site moments in Bohr magnetons follow the coordinates.
Fractional positions:
1 S 0.000 0.000 0.000  0.00
2 Rb 0.500 0.000 0.000  0.00
3 Rb 0.000 0.000 0.500  0.00
4 Rb 0.000 0.500 0.000  0.00
5 Co 0.500 0.500 0.500  1.97

## Properties
Size of the total moment: 2.0 Bohr magnetons per cell
Formation energy without anion corrections: -156 meV per atom
Density of states at the Fermi level: 0.4 states/eV/f.u.
V: 49.3 Å³/atom
Space-group type: Pm-3m, No. 221

Record 16
# CsTe3Rh

CsTe3Rh at its PBEsol-relaxed geometry (SCAN, the Alexandria database).

Lattice parameters (Å, degrees): 5.328 5.328 5.328 90.00 90.00 90.00
Fractional positions:
1 Rh 0.000 0.000 0.000
2 Te 0.000 0.500 0.000
3 Te 0.000 0.000 0.500
4 Te 0.500 0.000 0.000
5 Cs 0.500 0.500 0.500

## Properties
Size of the total moment: 0.0 Bohr magnetons per cell
Formation energy without anion corrections: -230 meV per atom
Density of states at the Fermi level: 6.2 states/eV/f.u.
V: 30.3 Å³/atom
Space-group type: Pm-3m, No. 221

Record 17
# AlPCl7

AlPCl7 at its PBEsol-relaxed geometry (SCAN, the Alexandria database).

Lattice parameters (Å, degrees): 6.251 11.472 14.653 90.00 102.88 90.00
Site moments in Bohr magnetons follow the coordinates.
Fractional positions:
1 Cl 0.952 0.873 0.753  0.07
2 Cl 0.834 0.338 0.487  0.10
3 Cl 0.166 0.838 0.013  0.10
4 Cl 0.834 0.162 0.987  0.10
5 Cl 0.225 0.370 0.383  0.07
6 Cl 0.048 0.127 0.247  0.07
7 Cl 0.543 0.914 0.875  0.02
8 Cl 0.842 0.868 0.513  0.09
9 Cl 0.457 0.086 0.125  0.02
10 Cl 0.600 0.082 0.374  0.03
11 Cl 0.457 0.414 0.625  0.02
12 Cl 0.775 0.630 0.617  0.07
13 Cl 0.400 0.918 0.626  0.03
14 Cl 0.952 0.627 0.253  0.07
15 Cl 0.158 0.368 0.987  0.09
16 Cl 0.543 0.586 0.375  0.02
17 Cl 0.400 0.582 0.126  0.03
18 Cl 0.225 0.130 0.883  0.07
19 Cl 0.158 0.132 0.487  0.09
20 Cl 0.775 0.870 0.117  0.07
21 Cl 0.166 0.662 0.513  0.10
22 Cl 0.305 0.853 0.255  0.07
23 Cl 0.305 0.647 0.755  0.07
24 Cl 0.695 0.147 0.745  0.07
25 Cl 0.048 0.373 0.747  0.07
26 Cl 0.842 0.632 0.013  0.09
27 Cl 0.600 0.418 0.874  0.03
28 Cl 0.695 0.353 0.245  0.07
29 P 0.995 0.244 0.902  0.28
30 P 0.005 0.756 0.098  0.28
31 P 0.005 0.744 0.598  0.28
32 P 0.995 0.256 0.402  0.28
33 Al 0.642 0.540 0.251  0.00
34 Al 0.358 0.460 0.749  0.00
35 Al 0.358 0.040 0.249  0.00
36 Al 0.642 0.960 0.751  0.00

## Properties
Size of the total moment: 4.0 Bohr magnetons per cell
Formation energy without anion corrections: -1077 meV per atom
V: 28.5 Å³/atom
Space-group type: P2_1/c, No. 14

Record 18
# KBaBi

KBaBi at its PBEsol-relaxed geometry (SCAN, the Alexandria database).

Lattice parameters (Å, degrees): 6.072 6.072 7.442 90.00 90.00 120.00
Fractional positions:
1 K 0.000 0.000 0.500
2 K 0.000 0.000 0.000
3 Bi 0.667 0.333 0.750
4 Bi 0.333 0.667 0.250
5 Ba 0.333 0.667 0.750
6 Ba 0.667 0.333 0.250

## Properties
Size of the total moment: 0.0 Bohr magnetons per cell
Density of states at the Fermi level: 0.0 states/eV/f.u.
V: 39.6 Å³/atom
Energy relative to the elements: -2.50 eV/f.u.
Space-group type: P6_3/mmc, No. 194

Record 19
# BeSbNF2

BeSbNF2 at its PBEsol-relaxed geometry (SCAN, the Alexandria database).

Lattice parameters (Å, degrees): 3.281 3.281 5.410 90.00 90.00 90.00
Fractional positions:
1 F 0.500 0.000 0.000
2 F 0.000 0.500 0.000
3 N 0.000 0.000 0.500
4 Sb 0.500 0.500 0.500
5 Be 0.000 0.000 0.000

## Properties
Size of the total moment: 0.0 Bohr magnetons per cell
Formation energy without anion corrections: -1274 meV per atom
Density of states at the Fermi level: 1.8 states/eV/f.u.
V: 11.6 Å³/atom
Space-group type: P4/mmm, No. 123

Record 20
# FeIr2

FeIr2 at its PBEsol-relaxed geometry (SCAN, the Alexandria database).

Lattice parameters (Å, degrees): 3.708 3.708 11.475 99.30 99.30 90.00
Site moments in Bohr magnetons follow the coordinates.
Fractional positions:
1 Ir 0.665 0.165 0.330  0.09
2 Ir 0.001 0.501 0.002  0.13
3 Ir 0.249 0.249 0.498  0.13
4 Ir 0.585 0.585 0.170  0.09
5 Ir 0.499 0.999 0.998  0.13
6 Ir 0.415 0.415 0.830  0.09
7 Ir 0.751 0.751 0.502  0.13
8 Ir 0.835 0.335 0.670  0.09
9 Fe 0.084 0.084 0.167  3.00
10 Fe 0.166 0.666 0.333  3.00
11 Fe 0.334 0.834 0.667  3.00
12 Fe 0.916 0.916 0.833  3.00

## Properties
Size of the total moment: 12.8 Bohr magnetons per cell
Density of states at the Fermi level: 2.8 states/eV/f.u.
V: 12.8 Å³/atom
Energy relative to the elements: -0.27 eV/f.u.
Space-group type: I4_1/amd, No. 141